[1]
TiNb2Ir9 | PBE-GGA | relaxed

```
TiNb2Ir9
1.0
-1.0890 2.2798 2.9857
-1.2029 -3.1566 1.9715
10.6707 -1.1075 4.7378
Ti Nb Ir
1 2 9
Cartesian
0.0000 0.0000 0.0000
3.5246 -0.3658 1.5649
7.1461 -0.7417 3.1728
-1.1460 -0.4384 2.4786
2.4050 -0.8069 4.0552
5.9738 -1.1773 5.6397
1.2153 0.9572 2.2742
4.7908 0.5861 3.8617
8.3664 0.2151 5.4493
1.1583 -1.7609 1.7671
4.7339 -2.1320 3.3546
8.3094 -2.5031 4.9421
```

Results
ΔE_f in meV per atom: -643.7
Energy in eV for the cell shown: -115.51

***

[2]
Ti3NbIr4 | PBE-GGA | relaxed

```
Ti3NbIr4
1.0
-0.5140 4.2732 1.9360
-4.7786 0.8559 -3.1578
-5.0174 -3.6011 6.6164
Nb Ir Ti
2 8 6
Cartesian
-2.3893 0.4280 -1.5789
-4.8980 -1.3726 1.7293
-3.8540 2.7809 -1.4090
-6.3627 0.9803 1.8992
-1.4385 2.3482 0.1872
-3.9472 0.5477 3.4954
-7.4231 -1.6061 2.7826
-5.3205 3.5700 1.0037
-2.8868 3.1341 2.6120
-4.9894 -2.0420 4.3909
0.0000 0.0000 0.0000
-2.5087 -1.8006 3.3082
-4.0665 -0.1779 6.1054
-1.4649 0.8499 2.4471
-6.4502 0.2040 4.5056
-3.8597 1.3240 0.8890
```

Results
ΔE_f in meV per atom: -734.9
Energy in eV for the cell shown: -150.16

***

[3]
TiNb2Ir2 | PBE-GGA | relaxed

```
TiNb2Ir2
1.0
-4.1723 -4.5881 -4.2490
2.3700 -5.8871 4.0298
-2.3487 0.3641 1.9131
Nb Ir Ti
4 4 2
Cartesian
-0.2956 -4.5413 2.9342
-2.0021 -7.7784 1.4552
-3.8554 -5.5699 -1.2403
-2.1489 -2.3327 0.2387
0.5202 -6.8072 1.9340
-2.1292 -7.7020 -1.1483
-2.3225 -3.6680 -2.1533
0.3269 -2.7732 0.9291
0.0000 0.0000 0.0000
-0.9012 -5.2376 -0.1096
```

Results
ΔE_f in meV per atom: -356.9
Distance to the lowest polymorph of the same formula in meV per atom: 0
Energy in eV for the cell shown: -95.08

***

[4]
Ti3Nb12Ir5 | PBE-GGA | relaxed

```
Ti3Nb12Ir5
1.0
13.1376 0.0000 0.0000
-4.3792 12.3863 0.0000
-4.3792 -6.1931 10.7268
Ti Ir Nb
12 20 48
Cartesian
7.6636 3.8707 1.3409
7.6636 8.5156 1.3409
-1.0948 5.4190 6.7043
1.0948 -0.7741 4.0226
9.8532 0.0000 2.6817
1.0948 6.1931 2.6817
3.2844 0.0000 8.0451
-5.4740 6.1931 8.0451
3.2844 6.9673 6.7043
5.4740 0.7741 4.0226
-3.2844 -2.3224 9.3860
-3.2844 2.3224 9.3860
-1.0948 3.0966 2.6817
-2.1896 6.1931 0.0000
0.0000 0.0000 0.0000
3.2844 2.3224 1.3409
4.3792 -3.0966 5.3634
4.3792 6.1931 0.0000
-3.2844 6.9673 4.0226
5.4740 -3.8707 9.3860
5.4740 5.4190 4.0226
1.0948 -3.0966 8.0451
3.2844 9.2897 2.6817
2.1896 3.0966 5.3634
6.5688 0.0000 0.0000
-2.1896 -3.0966 5.3634
-1.0948 0.7741 6.7043
-1.0948 10.0638 1.3409
-4.3792 3.0966 5.3634
7.6636 -0.7741 6.7043
1.0948 3.8707 9.3860
5.4740 3.0966 8.0451
8.7258 1.2959 0.6433
0.0326 4.3016 4.5628
9.5630 2.8478 2.9065
5.7642 2.0034 1.4439
1.6869 4.8865 7.1770
9.0929 6.0705 1.8136
-0.8046 7.0375 4.3504
-3.5746 10.3829 1.4439
0.5027 7.4998 7.1770
6.2344 6.3158 1.8136
6.6014 3.1874 3.9195
6.6014 11.0904 0.6433
-3.8765 5.5622 6.0067
2.5241 4.6838 1.0130
-4.4118 9.1989 3.9195
2.2222 -1.8915 6.1640
-0.5027 0.6757 2.4570
2.5241 7.8251 0.8006
5.7642 9.5385 2.9065
-0.3345 4.5612 0.8006
-2.6923 6.8688 8.2699
2.9942 5.3487 4.3504
6.0661 6.8241 6.0067
4.7136 -1.5093 9.7138
1.3850 0.8444 6.3764
-1.6869 -0.6309 4.7201
-0.3344 7.7024 1.0130
-1.3850 -3.3453 7.8204
7.0715 -0.6757 2.4570
4.7137 1.6320 9.9262
1.8551 -1.6320 9.9262
2.1570 8.0846 4.5628
4.8819 5.5175 8.2699
8.7910 -3.0058 6.8073
8.2557 0.6309 4.7201
-2.2222 -4.8973 10.0835
1.8551 1.5093 9.7138
3.8765 -1.3066 3.5498
-1.8552 -0.1227 8.9132
-2.2222 3.0058 6.8073
7.9538 -4.1897 9.2829
5.1838 -0.8444 6.3764
-1.3850 4.1897 9.2829
-4.7137 0.1227 8.9132
2.6923 1.3066 3.5498
-5.1838 3.3453 7.8204
4.3466 1.8915 6.1640
-4.3466 4.8973 10.0835
```

Results
ΔE_f in meV per atom: 679.6
Energy in eV for the cell shown: -700.94

***

ΔE_f of number 2 (Ti3NbIr4)? -734.9 meV per atom